(1)
4
Lattice="3.159 0.000 0.000 0.000 3.159 0.000 0.000 0.000 6.871" Properties=species:S:1:pos:R:3 comment="PuInNi2, optimized geometry, DFT PBE" spacegroup=P4/mmm energy_ev_per_atom=-7.207 delta_e_f_ev_per_atom=-0.049 pbc="T T T"
Ni 0.000 0.000 4.951
Ni 0.000 0.000 1.920
In 1.579 1.579 3.436
Pu 1.579 1.579 0.000

=====

(2)
16
Lattice="7.773 0.000 0.000 0.000 7.594 -0.133 -3.886 -3.882 5.499" Properties=species:S:1:pos:R:3 comment="Li4Pu3ZrS8, optimized geometry, DFT PBE" spacegroup=R-3m energy_ev_per_atom=-7.312 formation_energy_uncorrected_kcal_per_mol_atoms=-35.7 pbc="T T T"
Li 3.886 0.000 0.000
Li 1.943 -1.941 2.750
Li 0.000 0.000 0.000
Li -1.943 -1.941 2.750
Pu 3.886 3.797 -0.067
Pu 1.943 1.856 2.683
Pu -1.943 1.856 2.683
Zr 0.000 3.797 -0.067
S 1.860 5.667 -0.061
S 0.000 3.809 2.571
S 0.000 -0.061 2.703
S 5.913 5.667 -0.061
S -2.026 -1.955 5.427
S 3.886 3.773 2.663
S 3.886 -0.097 2.795
S 2.026 -1.955 5.427

=====

(3)
4
Lattice="4.479 0.000 0.000 2.239 3.879 0.000 2.239 1.293 3.657" Properties=species:S:1:pos:R:3 comment="ZrScFeNi, optimized geometry, DFT PBE" polymorph_energy_ev_per_atom=0.0172 spacegroup=F-43m energy_ev_per_atom=-7.567 delta_e_f_ev_per_atom=-0.286 pbc="T T T"
Sc 2.239 1.293 0.914
Ni 0.000 0.000 0.000
Fe 4.479 2.586 1.828
Zr 6.718 3.879 2.743

=====

(4)
6
Lattice="4.935 0.000 0.000 2.467 4.274 0.000 2.467 1.425 4.029" Properties=species:S:1:pos:R:3 comment="UCr4Re, optimized geometry, DFT PBE" spacegroup=F-43m energy_ev_per_atom=-10.056 delta_e_f_ev_per_atom=0.316 pbc="T T T"
Re 0.000 0.000 0.000
U 2.467 1.425 1.007
Cr 4.935 2.849 0.502
Cr 4.935 1.423 2.519
Cr 6.170 3.562 2.519
Cr 3.700 3.562 2.519